Entry 1:
{"formula": "BHCl", "functional": "PBE", "state": "relaxed", "dos_ef_per_ev_fu": 0.0, "energy_ev_per_atom": -4.31, "m_tot_mub_per_fu": 0.0, "crystal_system": "triclinic", "vol_a3_per_atom": 15.82, "relative_energy_ev_per_atom": 0.000, "lattice": [[3.1931, 0.0000, 0.0000], [-0.3559, 5.1084, 0.0000], [-0.2803, -0.0901, 5.8183]], "species": ["B", "B", "H", "H", "Cl", "Cl"], "fractional_positions": [[0.2426, 0.0548, 0.4480], [0.7574, 0.9452, 0.5520], [0.4734, 0.8570, 0.3844], [0.5266, 0.1430, 0.6156], [0.2544, 0.2897, 0.2238], [0.7456, 0.7103, 0.7762]]}

***

Entry 2:
{"formula": "LiNd3Sc2Te6", "functional": "PBE", "state": "relaxed", "dos_ef_per_ev_fu": 5.2, "energy_ev_per_atom": -5.27, "m_tot_mub_per_fu": 0.0, "crystal_system": "monoclinic", "raw_formation_energy_mev_per_atom": -1288, "vol_a3_per_atom": 28.95, "lattice": [[9.4836, -2.1638, 0.0000], [9.4836, 2.1638, 0.0000], [-2.0584, 0.0000, 8.4648]], "species": ["Li", "Nd", "Nd", "Nd", "Sc", "Sc", "Te", "Te", "Te", "Te", "Te", "Te"], "fractional_positions": [[0.0000, 0.0000, 0.0000], [0.0000, 0.0000, 0.5000], [0.3370, 0.3370, 0.1721], [0.6630, 0.6630, 0.8279], [0.3349, 0.3349, 0.6607], [0.6651, 0.6651, 0.3393], [0.1630, 0.1630, 0.0986], [0.1726, 0.1726, 0.5710], [0.4930, 0.4930, 0.7650], [0.5070, 0.5070, 0.2350], [0.8274, 0.8274, 0.4290], [0.8370, 0.8370, 0.9014]]}

***

Entry 3:
{"formula": "CaTmSc2", "functional": "PBE", "state": "relaxed", "dos_ef_per_ev_fu": 5.9, "energy_ev_per_atom": -4.64, "delta_e_f_mev_per_atom": 140, "m_tot_mub_per_fu": 0.1, "crystal_system": "trigonal", "vol_a3_per_atom": 29.17, "relative_energy_ev_per_atom": 0.000, "lattice": [[1.7182, 0.9920, 11.4084], [-1.7182, 0.9920, 11.4084], [0.0000, -1.9840, 11.4084]], "species": ["Ca", "Tm", "Sc", "Sc"], "fractional_positions": [[0.0000, 0.0000, 0.0000], [0.8340, 0.8340, 0.8340], [0.2458, 0.2458, 0.2458], [0.4221, 0.4221, 0.4221]]}

***

Entry 4:
{"formula": "KAsN2O", "functional": "PBE", "state": "relaxed", "dos_ef_per_ev_fu": 3.0, "energy_ev_per_atom": -4.92, "m_tot_mub_per_fu": 2.2, "crystal_system": "tetragonal", "raw_formation_energy_mev_per_atom": 556, "vol_a3_per_atom": 12.42, "lattice": [[3.9238, 0.0000, 0.0000], [0.0000, 3.9238, 0.0000], [0.0000, 0.0000, 4.0318]], "species": ["K", "As", "N", "N", "O"], "fractional_positions": [[0.0000, 0.0000, 0.0000], [0.5000, 0.5000, 0.5000], [0.0000, 0.5000, 0.5000], [0.5000, 0.0000, 0.5000], [0.5000, 0.5000, 0.0000]]}

***

Entry 5:
{"formula": "Pm3Tm2Tl2", "functional": "PBE", "state": "relaxed", "dos_ef_per_ev_fu": 6.7, "energy_ev_per_atom": -4.18, "delta_e_f_mev_per_atom": -188, "m_tot_mub_per_fu": 0.0, "crystal_system": "monoclinic", "vol_a3_per_atom": 29.99, "relative_energy_ev_per_atom": 0.000, "lattice": [[4.7426, -2.7433, 0.0000], [4.7426, 2.7433, 0.0000], [-3.1774, 0.0000, 8.0668]], "species": ["Pm", "Pm", "Pm", "Tm", "Tm", "Tl", "Tl"], "fractional_positions": [[0.0000, 0.0000, 0.0000], [0.1574, 0.1574, 0.4719], [0.8426, 0.8426, 0.5281], [0.4271, 0.4271, 0.2819], [0.5729, 0.5729, 0.7181], [0.2872, 0.2872, 0.8612], [0.7128, 0.7128, 0.1388]]}

***

Entry 6:
{"formula": "Pm2SmGe", "functional": "PBE", "state": "relaxed", "dos_ef_per_ev_fu": 4.8, "energy_ev_per_atom": -5.02, "delta_e_f_mev_per_atom": -308, "m_tot_mub_per_fu": 0.0, "crystal_system": "tetragonal", "vol_a3_per_atom": 28.46, "relative_energy_ev_per_atom": 0.035, "lattice": [[4.0043, 0.0000, 0.0000], [0.0000, 4.0043, 0.0000], [0.0000, 0.0000, 7.1004]], "species": ["Pm", "Pm", "Sm", "Ge"], "fractional_positions": [[0.0000, 0.0000, 0.2081], [0.0000, 0.0000, 0.7919], [0.5000, 0.5000, 0.5000], [0.5000, 0.5000, 0.0000]]}